A relaxed structure of AcPuHg, computed with GGA-PBE.

The density of states at the Fermi level comes out at 2.91 states/eV/atom. As for the energy relative to the elements: 4 meV/atom. The size of the total moment is 6.39 Bohr magnetons per cell.

Cell lengths 5.4506, 5.4506, 3.7326 Å; angles 90.00, 90.00, 120.00 degrees
Closest atoms and distances in Å follow each position.
Fractional positions:
Ac  0.0000  0.0000  0.0000  6 Pu 3.66, 6 Hg 3.66, 2 Ac 3.73
Pu  0.3333  0.6667  0.5000  3 Hg 3.15
Hg  0.6667  0.3333  0.5000  3 Pu 3.15

---

A relaxed structure of AcPuHg4, computed with GGA-PBE.

The density of states at the Fermi level comes out at 2.88 states/eV/atom. As for the energy relative to the elements: -150 meV/atom. The size of the total moment is 5.89 Bohr magnetons per cell.

Cell lengths 6.1388, 6.1388, 6.1388 Å; angles 60.00, 60.00, 60.00 degrees
Closest atoms and distances in Å follow each position.
Fractional positions:
Ac  0.0000  0.0000  0.0000  12 Hg 3.60, 4 Pu 3.76
Pu  0.7500  0.7500  0.7500  12 Hg 3.60, 4 Ac 3.76
Hg  0.3753  0.3753  0.3753  6 Hg 3.06-3.08
Hg  0.3753  0.3753  0.8740  6 Hg 3.06-3.08
Hg  0.3753  0.8740  0.3753  6 Hg 3.06-3.08
Hg  0.8740  0.3753  0.3753  6 Hg 3.06-3.08

---

A relaxed structure of AcPuHg4, computed with GGA-PBE.

The density of states at the Fermi level comes out at 2.08 states/eV/atom. As for the energy relative to the elements: -293 meV/atom. The size of the total moment is 6.01 Bohr magnetons per cell.

Cell lengths 3.5567, 5.1363, 8.8952 Å; angles 90.00, 90.00, 90.00 degrees
Closest atoms and distances in Å follow each position.
Fractional positions:
Ac  0.0000  0.0000  0.0000  12 Hg 3.49-3.50, 2 Ac 3.56
Pu  0.0000  0.5000  0.5000  12 Hg 3.40-3.44, 2 Pu 3.56
Hg  0.5000  0.0000  0.3388  3 Hg 2.87-2.96
Hg  0.5000  0.0000  0.6612  3 Hg 2.87-2.96
Hg  0.5000  0.5000  0.1737  3 Hg 2.96-3.09
Hg  0.5000  0.5000  0.8263  3 Hg 2.96-3.09

---

A relaxed structure of Ac2PuHg6, computed with GGA-PBE.

The density of states at the Fermi level comes out at 1.73 states/eV/atom. As for the energy relative to the elements: -346 meV/atom. The size of the total moment is 6.09 Bohr magnetons per cell.

Cell lengths 8.9230, 8.9230, 3.6379 Å; angles 90.00, 90.00, 120.00 degrees
Closest atoms and distances in Å follow each position.
Fractional positions:
Ac  0.3333  0.6667  0.0000  12 Hg 3.50, 2 Ac 3.64
Ac  0.6667  0.3333  0.0000  12 Hg 3.50, 2 Ac 3.64
Pu  0.0000  0.0000  0.0000  12 Hg 3.45, 2 Pu 3.64
Hg  0.0000  0.3288  0.5000  3 Hg 2.93-3.06
Hg  0.0000  0.6712  0.5000  3 Hg 2.93-3.06
Hg  0.3288  0.0000  0.5000  3 Hg 2.93-3.06
Hg  0.3288  0.3288  0.5000  3 Hg 2.93-3.06
Hg  0.6712  0.0000  0.5000  3 Hg 2.93-3.06
Hg  0.6712  0.6712  0.5000  3 Hg 2.93-3.06

---

A relaxed structure of Ac2PuHg5, computed with GGA-PBE.

The density of states at the Fermi level comes out at 1.95 states/eV/atom. As for the energy relative to the elements: -294 meV/atom. The size of the total moment is 5.89 Bohr magnetons per cell.

Cell lengths 8.4510, 8.4510, 8.4510 Å; angles 141.50, 141.50, 55.59 degrees
Closest atoms and distances in Å follow each position.
Fractional positions:
Ac  0.2360  0.2360  0.0000  9 Hg 3.34-3.58
Ac  0.7640  0.7640  0.0000  9 Hg 3.34-3.58
Pu  0.5000  0.5000  0.0000  8 Hg 3.26
Hg  0.0000  0.0000  0.0000  8 Hg 3.26, 2 Ac 3.53
Hg  0.1133  0.6133  0.5000  3 Hg 3.26-3.39, 2 Pu 3.26, 4 Ac 3.34-3.58
Hg  0.3867  0.8867  0.5000  2 Pu 3.26, 3 Hg 3.26-3.39, 4 Ac 3.34-3.58
Hg  0.6133  0.1133  0.5000  3 Hg 3.26-3.39, 2 Pu 3.26, 4 Ac 3.34-3.58
Hg  0.8867  0.3867  0.5000  2 Pu 3.26, 3 Hg 3.26-3.39, 4 Ac 3.34-3.58

---

A relaxed structure of AcPuHg, computed with GGA-PBE.

The density of states at the Fermi level comes out at 1.92 states/eV/atom. As for the energy relative to the elements: 24 meV/atom. The size of the total moment is 0.65 Bohr magnetons per cell.

Cell lengths 5.1614, 3.6354, 9.3775 Å; angles 90.00, 97.82, 90.00 degrees
Closest atoms and distances in Å follow each position.
Fractional positions:
Ac  0.2199  0.2500  0.3607  4 Hg 3.35-3.40, 2 Ac 3.64, 2 Pu 3.65
Ac  0.7801  0.7500  0.6393  4 Hg 3.35-3.40, 2 Ac 3.64, 2 Pu 3.65
Pu  0.1386  0.7500  0.0202  2 Pu 2.31
Pu  0.8614  0.2500  0.9798  2 Pu 2.31
Hg  0.3190  0.2500  0.7679  4 Pu 3.21-3.29, 4 Ac 3.35-3.40
Hg  0.6810  0.7500  0.2321  4 Pu 3.21-3.29, 4 Ac 3.35-3.40

---

A relaxed structure of Ac4PuHg5, computed with GGA-PBE.

The density of states at the Fermi level comes out at 1.79 states/eV/atom. As for the energy relative to the elements: -393 meV/atom. The size of the total moment is 7.01 Bohr magnetons per cell.

Cell lengths 4.0052, 4.0052, 19.8142 Å; angles 90.00, 90.00, 90.00 degrees
Closest atoms and distances in Å follow each position.
Fractional positions:
Ac  0.0000  0.0000  0.1036  8 Hg 3.48-3.50
Ac  0.0000  0.0000  0.3097  8 Hg 3.49-3.50, 1 Pu 3.77
Ac  0.0000  0.0000  0.6903  8 Hg 3.49-3.50, 1 Pu 3.77
Ac  0.0000  0.0000  0.8964  8 Hg 3.48-3.50
Pu  0.0000  0.0000  0.5000  8 Hg 3.32
Hg  0.5000  0.5000  0.0000  8 Ac 3.50
Hg  0.5000  0.5000  0.2059  8 Ac 3.48-3.50
Hg  0.5000  0.5000  0.4125  4 Pu 3.32, 1 Hg 3.47, 4 Ac 3.49
Hg  0.5000  0.5000  0.5875  4 Pu 3.32, 1 Hg 3.47, 4 Ac 3.49
Hg  0.5000  0.5000  0.7941  8 Ac 3.48-3.50

---

A relaxed structure of Ac5PuHg6, computed with GGA-PBE.

The density of states at the Fermi level comes out at 1.69 states/eV/atom. As for the energy relative to the elements: -405 meV/atom. The size of the total moment is 7.23 Bohr magnetons per cell.

Cell lengths 9.8118, 9.8118, 9.8118 Å; angles 146.52, 131.78, 59.98 degrees
Closest atoms and distances in Å follow each position.
Fractional positions:
Ac  0.0000  0.0000  0.0000  8 Hg 3.44-3.50
Ac  0.1676  0.6676  0.5000  8 Hg 3.49-3.52
Ac  0.3360  0.3360  0.0000  8 Hg 3.40-3.59
Ac  0.6640  0.6640  0.0000  8 Hg 3.40-3.59
Ac  0.8324  0.3324  0.5000  8 Hg 3.49-3.52
Pu  0.5000  0.0000  0.5000  8 Hg 3.39-3.43
Hg  0.0922  0.8375  0.2547  1 Pu 3.39, 7 Ac 3.44-3.59
Hg  0.2576  0.5000  0.7576  6 Ac 3.40-3.52, 2 Pu 3.43
Hg  0.4172  0.1625  0.2547  1 Pu 3.39, 7 Ac 3.44-3.59
Hg  0.5828  0.8375  0.7453  1 Pu 3.39, 7 Ac 3.44-3.59
Hg  0.7424  0.5000  0.2424  6 Ac 3.40-3.52, 2 Pu 3.43
Hg  0.9078  0.1625  0.7453  1 Pu 3.39, 7 Ac 3.44-3.59